Entry from Alexandria via LeMat-Bulk: LiPO4 after structural relaxation (PBE).

The calculation puts the volume at 80 Å³/f.u. Its total magnetic moment is 2.0 μB/f.u. For the total DFT energy (no corrections), the calculation gives -5.9904 eV per atom. Its uncorrected formation energy is -1.464 eV per atom.

Lattice parameters (Å, degrees): 12.4271 12.4271 5.4084 90.00 90.00 120.00
Space group R3 (No. 146, hexagonal axes)
Symmetry-distinct sites (fractional):
Li  0.0490  0.2390  0.0000
P  0.1498  0.0383  0.4778
O  0.0289  0.7371  0.8885
O  0.0329  0.9031  0.4009
O  0.1433  0.4171  0.9605
O  0.1762  0.0465  0.7476

Entry from Alexandria via LeMat-Bulk: AcLa2Nd2Y after structural relaxation (PBE).

The calculation puts the volume at 220 Å³/f.u. Its total magnetic moment is 0.0 μB/f.u. The energy of formation comes out at 14 kJ/mol of formula units. For the total DFT energy (no corrections), the calculation gives -4.9702 eV per atom.

Lattice parameters (Å, degrees): 5.2905 11.1849 7.4462 90.00 90.00 90.00
Space group Pmc2_1 (No. 26)
Symmetry-distinct sites (fractional):
Ac  0.0000  0.1647  0.0000
La  0.0000  0.4980  0.4990
La  0.5000  0.3328  0.7493
Nd  0.0000  0.1679  0.5023
Nd  0.5000  0.3313  0.2506
Y  0.5000  0.0011  0.2517

Entry from Alexandria via LeMat-Bulk: CoBr after structural relaxation (PBE).

The calculation puts the volume at 48 Å³/f.u. Its total magnetic moment is 2.0 μB/f.u. For the total DFT energy (no corrections), the calculation gives -4.3043 eV per atom. The calculation puts the offset from the most stable computed form at 199.2 meV/atom. Its uncorrected formation energy is 0.085 eV per atom.

Lattice parameters (Å, degrees): 3.7365 3.8402 6.7154 86.09 89.93 83.70
Space group P-1 (No. 2)
Symmetry-distinct sites (fractional):
Co  0.2313  0.1852  0.4951
Br  0.2680  0.7136  0.2601

Entry from Alexandria via LeMat-Bulk: RbAlSe2 after structural relaxation (PBE).

The calculation puts the volume at 102 Å³/f.u. Its total magnetic moment is 0.0 μB/f.u. For the total DFT energy (no corrections), the calculation gives -3.0082 eV per atom. Its uncorrected formation energy is -0.088 eV per atom.

Lattice parameters (Å, degrees): 5.1157 5.1157 3.9128 90.00 90.00 90.00
Space group P4/mmm (No. 123)
Symmetry-distinct sites (fractional):
Rb  0.0000  0.0000  0.0000
Al  0.5000  0.5000  0.0000
Se  0.0000  0.5000  0.5000

Entry from Alexandria via LeMat-Bulk: ZrOs2Br after structural relaxation (PBE).

The calculation puts the volume at 70 Å³/f.u. Its total magnetic moment is 0.0 μB/f.u. For the total DFT energy (no corrections), the calculation gives -7.4496 eV per atom. The calculation puts the offset from the most stable computed form at 600.8 meV/atom. Its uncorrected formation energy is 0.721 eV per atom.

Lattice parameters (Å, degrees): 3.8109 3.8109 9.6562 90.00 90.00 90.00
Space group I4/mmm (No. 139)
Symmetry-distinct sites (fractional):
Zr  0.0000  0.0000  0.0000
Os  0.0000  0.5000  0.2500
Br  0.0000  0.0000  0.5000

Entry from Alexandria via LeMat-Bulk: B2C after structural relaxation (PBE).

The calculation puts the volume at 21 Å³/f.u. Its total magnetic moment is 0.0 μB/f.u. The energy of formation comes out at 164 kJ/mol of formula units. For the total DFT energy (no corrections), the calculation gives -6.9613 eV per atom. The calculation puts the offset from the most stable computed form at 379.7 meV/atom.

Lattice parameters (Å, degrees): 2.6998 2.6998 13.5267 90.00 90.00 120.00
Space group P-3m1 (No. 164)
Symmetry-distinct sites (fractional):
B  0.0000  0.0000  0.1635
B  0.0000  0.0000  0.3041
B  0.3333  0.6667  0.3623
B  0.3333  0.6667  0.9646
C  0.3333  0.6667  0.4811
C  0.3333  0.6667  0.8487

Entry from Alexandria via LeMat-Bulk: BeVIn3 after structural relaxation (PBE).

The calculation puts the volume at 112 Å³/f.u. Its total magnetic moment is 3.4 μB/f.u. The energy of formation comes out at 351 kJ/mol of formula units. For the total DFT energy (no corrections), the calculation gives -3.4845 eV per atom. The calculation puts the offset from the most stable computed form at 0.0 meV/atom.

Lattice parameters (Å, degrees): 4.8196 4.8196 4.8196 90.00 90.00 90.00
Space group Pm-3m (No. 221)
Symmetry-distinct sites (fractional):
Be  0.0000  0.0000  0.0000
V  0.5000  0.5000  0.5000
In  0.0000  0.0000  0.5000

Entry from Alexandria via LeMat-Bulk: PSe after structural relaxation (PBE).

The calculation puts the volume at 58 Å³/f.u. Its total magnetic moment is 0.0 μB/f.u. For the total DFT energy (no corrections), the calculation gives -4.1399 eV per atom. The calculation puts the offset from the most stable computed form at 387.4 meV/atom. Its uncorrected formation energy is 0.307 eV per atom.

Lattice parameters (Å, degrees): 3.1832 4.1648 17.5087 90.00 90.00 90.00
Space group Imma (No. 74)
Symmetry-distinct sites (fractional):
P  0.0000  0.2500  0.2099
Se  0.0000  0.2500  0.5358

Entry from Alexandria via LeMat-Bulk: Ce4Bi2Os after structural relaxation (PBE).

The calculation puts the volume at 207 Å³/f.u. Its total magnetic moment is 3.4 μB/f.u. The energy of formation comes out at -289 kJ/mol of formula units. For the total DFT energy (no corrections), the calculation gives -6.5322 eV per atom.

Lattice parameters (Å, degrees): 6.7398 6.5565 9.8090 90.00 107.34 90.00
Space group P2_1/m (No. 11)
Symmetry-distinct sites (fractional):
Ce  0.1898  0.2500  0.1083
Ce  0.2410  0.5271  0.7505
Ce  0.2948  0.7500  0.4118
Bi  0.1900  0.2500  0.4515
Bi  0.3538  0.7500  0.0659
Os  0.0024  0.2500  0.8291

Entry from Alexandria via LeMat-Bulk: KSr2CeBr8 after structural relaxation (PBE).

The calculation puts the volume at 482 Å³/f.u. Its total magnetic moment is 1.0 μB/f.u. For the total DFT energy (no corrections), the calculation gives -3.9224 eV per atom. Its uncorrected formation energy is -1.941 eV per atom.

Lattice parameters (Å, degrees): 7.0051 9.4602 7.2755 90.00 90.03 90.00
Space group P2/m (No. 10)
Symmetry-distinct sites (fractional):
K  0.0000  0.0000  0.0000
Sr  0.5000  0.2462  0.5000
Ce  0.0000  0.5000  0.0000
Br  0.2324  0.2789  0.8360
Br  0.2628  0.5000  0.3265
Br  0.2744  0.0000  0.3516

Entry from Alexandria via LeMat-Bulk: Pr2AlSe4 after structural relaxation (PBE).

The calculation puts the volume at 185 Å³/f.u. Its total magnetic moment is 0.0 μB/f.u. For the total DFT energy (no corrections), the calculation gives -5.3243 eV per atom. Its uncorrected formation energy is -1.433 eV per atom.

Lattice parameters (Å, degrees): 7.0006 6.8744 8.0111 90.00 106.68 90.00
Space group P2_1/m (No. 11)
Symmetry-distinct sites (fractional):
Pr  0.2360  0.2500  0.0556
Pr  0.2381  0.2500  0.5628
Al  0.2458  0.7500  0.3113
Se  0.0025  0.0063  0.2502
Se  0.4200  0.7500  0.0971
Se  0.4232  0.7500  0.6125

Entry from Alexandria via LeMat-Bulk: Zn3RuS after structural relaxation (PBE).

The calculation puts the volume at 109 Å³/f.u. Its total magnetic moment is 0.8 μB/f.u. For the total DFT energy (no corrections), the calculation gives -2.6332 eV per atom. The calculation puts the offset from the most stable computed form at 0.0 meV/atom. Its uncorrected formation energy is 0.812 eV per atom.

Lattice parameters (Å, degrees): 4.7833 4.7833 4.7833 90.00 90.00 90.00
Space group Pm-3m (No. 221)
Symmetry-distinct sites (fractional):
Zn  0.0000  0.0000  0.5000
Ru  0.0000  0.0000  0.0000
S  0.5000  0.5000  0.5000

Entry from Alexandria via LeMat-Bulk: RbPtS2 after structural relaxation (PBE).

The calculation puts the volume at 118 Å³/f.u. Its total magnetic moment is 0.5 μB/f.u. For the total DFT energy (no corrections), the calculation gives -4.4439 eV per atom. Its uncorrected formation energy is -0.628 eV per atom.

Lattice parameters (Å, degrees): 7.3324 11.6086 5.5626 90.00 90.00 90.00
Space group Cmcm (No. 63)
Symmetry-distinct sites (fractional):
Rb  0.0000  0.1532  0.2500
Pt  0.0000  0.5000  0.0000
S  0.2184  0.4130  0.2500

Entry from Alexandria via LeMat-Bulk: KGa2Hg2 after structural relaxation (PBE).

The calculation puts the volume at 136 Å³/f.u. Its total magnetic moment is 0.0 μB/f.u. The energy of formation comes out at -47 kJ/mol of formula units. For the total DFT energy (no corrections), the calculation gives -1.6485 eV per atom. The calculation puts the offset from the most stable computed form at 22.2 meV/atom.

Lattice parameters (Å, degrees): 4.7828 4.7828 11.9261 90.00 90.00 90.00
Space group I4/mmm (No. 139)
Symmetry-distinct sites (fractional):
K  0.0000  0.0000  0.0000
Ga  0.0000  0.5000  0.2500
Hg  0.0000  0.0000  0.3750

Entry from Alexandria via LeMat-Bulk: PrZn2Pt4 after structural relaxation (PBE).

The calculation puts the volume at 161 Å³/f.u. Its total magnetic moment is 0.0 μB/f.u. The energy of formation comes out at -97 kJ/mol of formula units. For the total DFT energy (no corrections), the calculation gives -4.6425 eV per atom. The calculation puts the offset from the most stable computed form at 503.8 meV/atom.

Lattice parameters (Å, degrees): 7.9334 7.9334 5.1308 90.00 90.00 90.00
Space group I4/mmm (No. 139)
Symmetry-distinct sites (fractional):
Pr  0.0000  0.0000  0.0000
Zn  0.0000  0.5000  0.2500
Pt  0.0000  0.2300  0.5000

Entry from Alexandria via LeMat-Bulk: B2C after structural relaxation (PBE).

The calculation puts the volume at 28 Å³/f.u. Its total magnetic moment is 0.0 μB/f.u. The energy of formation comes out at 150 kJ/mol of formula units. For the total DFT energy (no corrections), the calculation gives -7.0084 eV per atom. The calculation puts the offset from the most stable computed form at 332.6 meV/atom.

Lattice parameters (Å, degrees): 2.7258 2.7258 17.3823 90.00 90.00 120.00
Space group P3m1 (No. 156)
Symmetry-distinct sites (fractional):
B  0.0000  0.0000  0.0000
B  0.0000  0.0000  0.0972
B  0.0000  0.0000  0.4951
B  0.0000  0.0000  0.7348
B  0.3333  0.6667  0.1586
B  0.3333  0.6667  0.8377
B  0.6667  0.3333  0.2554
B  0.6667  0.3333  0.4951
C  0.3333  0.6667  0.2485
C  0.3333  0.6667  0.7437
C  0.6667  0.3333  0.8784
C  0.6667  0.3333  0.9589

Entry from Alexandria via LeMat-Bulk: BeNbCrHg2 after structural relaxation (PBE).

The calculation puts the volume at 114 Å³/f.u. Its total magnetic moment is 1.0 μB/f.u. The energy of formation comes out at 612 kJ/mol of formula units. For the total DFT energy (no corrections), the calculation gives -3.5357 eV per atom.

Lattice parameters (Å, degrees): 5.0846 5.0846 4.4058 90.00 90.00 90.00
Space group P4/mmm (No. 123)
Symmetry-distinct sites (fractional):
Be  0.0000  0.0000  0.0000
Nb  0.5000  0.5000  0.0000
Cr  0.5000  0.5000  0.5000
Hg  0.0000  0.5000  0.5000

Entry from Alexandria via LeMat-Bulk: La4CdCoAg after structural relaxation (PBE).

The calculation puts the volume at 219 Å³/f.u. Its total magnetic moment is 0.0 μB/f.u. The energy of formation comes out at -83 kJ/mol of formula units. For the total DFT energy (no corrections), the calculation gives -4.4914 eV per atom.

Lattice parameters (Å, degrees): 7.3032 16.3260 7.3432 90.00 90.00 90.00
Space group Cmcm (No. 63)
Symmetry-distinct sites (fractional):
La  0.0000  0.0675  0.2500
La  0.0000  0.4251  0.2500
La  0.2500  0.2500  0.0000
Cd  0.0000  0.3840  0.7500
Co  0.0000  0.2472  0.2500
Ag  0.0000  0.1204  0.7500

Entry from Alexandria via LeMat-Bulk: Cs12IO3 after structural relaxation (PBE).

The calculation puts the volume at 1242 Å³/f.u. Its total magnetic moment is 0.0 μB/f.u. For the total DFT energy (no corrections), the calculation gives -2.4210 eV per atom. Its uncorrected formation energy is -0.754 eV per atom.

Lattice parameters (Å, degrees): 16.3072 16.3072 10.7840 90.00 90.00 120.00
Space group P6_3/m (No. 176)
Symmetry-distinct sites (fractional):
Cs  0.0232  0.1945  0.2500
Cs  0.0380  0.5649  0.7500
Cs  0.1970  0.4483  0.0458
I  0.3333  0.6667  0.7500
O  0.0917  0.3807  0.2500

Entry from Alexandria via LeMat-Bulk: PmEuZn4 after structural relaxation (PBE).

The calculation puts the volume at 124 Å³/f.u. Its total magnetic moment is 7.0 μB/f.u. The energy of formation comes out at -160 kJ/mol of formula units. For the total DFT energy (no corrections), the calculation gives -3.6299 eV per atom.

Lattice parameters (Å, degrees): 7.9140 7.9140 7.9140 90.00 90.00 90.00
Space group F-43m (No. 216)
Symmetry-distinct sites (fractional):
Pm  0.0000  0.0000  0.0000
Eu  0.2500  0.2500  0.2500
Zn  0.1260  0.1260  0.6260

Entry from Alexandria via LeMat-Bulk: TbDy10Sc4 after structural relaxation (PBE).

The calculation puts the volume at 496 Å³/f.u. Its total magnetic moment is 0.0 μB/f.u. The energy of formation comes out at 832 kJ/mol of formula units. For the total DFT energy (no corrections), the calculation gives -4.4903 eV per atom.

Lattice parameters (Å, degrees): 10.4791 10.4791 9.0424 90.00 90.00 90.00
Space group I4/m (No. 87)
Symmetry-distinct sites (fractional):
Tb  0.0000  0.0000  0.0000
Dy  0.0000  0.5000  0.2500
Dy  0.1216  0.2118  0.1830
Sc  0.0383  0.7665  0.5000

Entry from Alexandria via LeMat-Bulk: CeMnCo after structural relaxation (PBE).

The calculation puts the volume at 47 Å³/f.u. Its total magnetic moment is 2.3 μB/f.u. The energy of formation comes out at -35 kJ/mol of formula units. For the total DFT energy (no corrections), the calculation gives -7.5236 eV per atom. The calculation puts the offset from the most stable computed form at 0.0 meV/atom.

Lattice parameters (Å, degrees): 5.2700 5.2791 6.8200 90.00 90.00 90.00
Space group Imma (No. 74)
Symmetry-distinct sites (fractional):
Ce  0.0000  0.2500  0.1359
Mn  0.2500  0.2500  0.7500
Co  0.0000  0.0000  0.5000